Rb3Ti2Se4 | PBE-GGA | relaxed

Properties
Its total energy is -4.71 eV/atom. The value obtained for the density is 3.7 g/cm3. Its crystal system is monoclinic. The uncorrected formation energy is -9.787 eV/f.u.

Unit cell a=14.994 b=10.884 c=7.412 alpha=90.00 beta=95.09 gamma=90.00
Space group C2/c (No. 15)
Inequivalent atoms, fractional coordinates:
Rb (0.000, 0.091, 0.250) x4
Rb (0.118, 0.364, 0.545) x8
Ti (0.217, 0.130, 0.945) x8
Se (0.121, 0.310, 0.019) x8
Se (0.182, 0.059, 0.622) x8